a.
The following is a GGA-PBEsol calculation of a relaxed structure of SrZr, from Alexandria via LeMat-Bulk.

abc: 3.951 3.951 3.951
angles: 90.00 90.00 90.00
Fractional coordinates of all 2 atoms:
Sr 0.000 0.000 0.000
Zr 0.500 0.500 0.500

Computed properties:
**Space-group type**: Pm-3m (221)

=====

b.
The following is a GGA-PBEsol calculation of a relaxed structure of SrZr, from Alexandria via LeMat-Bulk.

abc: 3.334 4.555 8.827
angles: 90.00 90.00 90.00
Fractional coordinates of all 4 atoms:
Sr 0.250 0.250 0.173
Sr 0.750 0.750 0.827
Zr 0.250 0.750 0.447
Zr 0.750 0.250 0.553

Computed properties:
**Space-group type**: Pmmn (59)

=====

c.
The following is a GGA-PBEsol calculation of a relaxed structure of SrZr, from Alexandria via LeMat-Bulk.

abc: 4.716 6.079 9.222
angles: 90.00 90.00 90.00
Fractional coordinates of all 8 atoms:
Sr 0.000 0.250 0.096
Sr 0.000 0.750 0.904
Sr 0.500 0.250 0.404
Sr 0.500 0.750 0.596
Zr 0.000 0.250 0.686
Zr 0.000 0.750 0.314
Zr 0.500 0.250 0.814
Zr 0.500 0.750 0.186

Computed properties:
**Space-group type**: Imma (74)

=====

The most stable arrangement is b, and the next structure is 137 meV per atom less stable.

=====

a.
The following is a GGA-PBEsol calculation of a relaxed structure of Sr2Zr, from Alexandria via LeMat-Bulk.

abc: 3.544 3.544 34.257
angles: 90.00 90.00 90.00
Fractional coordinates of all 12 atoms:
Sr 0.000 0.250 0.302
Sr 0.000 0.250 0.448
Sr 0.000 0.750 0.552
Sr 0.000 0.750 0.698
Sr 0.500 0.250 0.052
Sr 0.500 0.250 0.198
Sr 0.500 0.750 0.802
Sr 0.500 0.750 0.948
Zr 0.000 0.250 0.875
Zr 0.000 0.750 0.125
Zr 0.500 0.250 0.625
Zr 0.500 0.750 0.375

Computed properties:
**Space-group type**: I4_1/amd (141)

=====

b.
The following is a GGA-PBEsol calculation of a relaxed structure of Sr2Zr, from Alexandria via LeMat-Bulk.

abc: 3.641 3.641 9.183
angles: 90.00 90.00 120.00
Fractional coordinates of all 3 atoms:
Sr 0.333 0.667 0.302
Sr 0.667 0.333 0.698
Zr 0.000 0.000 0.000

Computed properties:
**Space-group type**: P-3m1 (164)

=====

c.
The following is a GGA-PBEsol calculation of a relaxed structure of Sr2Zr, from Alexandria via LeMat-Bulk.

abc: 5.951 5.951 3.517
angles: 90.00 90.00 90.00
Fractional coordinates of all 3 atoms:
Sr 0.000 0.500 0.000
Sr 0.500 0.000 0.000
Zr 0.000 0.000 0.500

Computed properties:
**Space-group type**: P4/mmm (123)

=====

The most stable arrangement is b, and the next structure is 14 meV per atom less stable.

=====

a.
The following is a GGA-PBEsol calculation of a relaxed structure of Ta2Tc, from Alexandria via LeMat-Bulk.

abc: 3.194 4.655 13.201
angles: 90.00 90.00 90.00
Fractional coordinates of all 12 atoms:
Ta 0.000 0.000 0.161
Ta 0.000 0.000 0.839
Ta 0.000 0.500 0.339
Ta 0.000 0.500 0.661
Ta 0.500 0.000 0.339
Ta 0.500 0.000 0.661
Ta 0.500 0.500 0.161
Ta 0.500 0.500 0.839
Tc 0.000 0.000 0.500
Tc 0.000 0.500 0.000
Tc 0.500 0.000 0.000
Tc 0.500 0.500 0.500

Computed properties:
**Space-group type**: Fmmm (69)

=====

b.
The following is a GGA-PBEsol calculation of a relaxed structure of Ta2Tc, from Alexandria via LeMat-Bulk.

abc: 3.164 3.164 9.761
angles: 90.00 90.00 90.00
Fractional coordinates of all 6 atoms:
Ta 0.000 0.000 0.160
Ta 0.000 0.000 0.840
Ta 0.500 0.500 0.340
Ta 0.500 0.500 0.660
Tc 0.000 0.000 0.500
Tc 0.500 0.500 0.000

Computed properties:
**Space-group type**: I4/mmm (139)

=====

The most stable arrangement is b, and the next structure is 205 meV per atom less stable.